No. 1
This record from the Alexandria database describes Mg30MnCrO32 at its PBEsol-relaxed geometry. The functional is SCAN.

abc: 8.4338 8.4722 8.4722
angles: 90.00 90.00 90.00
Atoms (fractional coordinates):
Mg (0.0000, 0.5000, 0.0000)
Mg (0.5000, 0.5000, 0.0000)
Mg (0.0000, 0.0000, 0.5000)
Mg (0.5000, 0.0000, 0.5000)
Mg (0.0000, 0.5000, 0.5000)
Mg (0.5000, 0.5000, 0.5000)
Mg (0.2511, 0.2516, 0.0000)
Mg (0.7489, 0.2516, 0.0000)
Mg (0.2511, 0.7484, 0.0000)
Mg (0.7489, 0.7484, 0.0000)
Mg (0.2501, 0.2501, 0.5000)
Mg (0.7499, 0.2501, 0.5000)
Mg (0.2501, 0.7499, 0.5000)
Mg (0.7499, 0.7499, 0.5000)
Mg (0.2511, 0.0000, 0.2516)
Mg (0.7489, 0.0000, 0.2516)
Mg (0.2501, 0.5000, 0.2501)
Mg (0.7499, 0.5000, 0.2501)
Mg (0.2511, 0.0000, 0.7484)
Mg (0.7489, 0.0000, 0.7484)
Mg (0.2501, 0.5000, 0.7499)
Mg (0.7499, 0.5000, 0.7499)
Mg (0.0000, 0.2505, 0.2505)
Mg (0.5000, 0.2503, 0.2503)
Mg (0.0000, 0.7495, 0.2505)
Mg (0.5000, 0.7497, 0.2503)
Mg (0.0000, 0.2505, 0.7495)
Mg (0.5000, 0.2503, 0.7497)
Mg (0.0000, 0.7495, 0.7495)
Mg (0.5000, 0.7497, 0.7497)
Mn (0.0000, 0.0000, 0.0000)
Cr (0.5000, 0.0000, 0.0000)
O (0.0000, 0.0000, 0.2542)
O (0.5000, 0.0000, 0.2574)
O (0.0000, 0.5000, 0.2506)
O (0.5000, 0.5000, 0.2510)
O (0.0000, 0.0000, 0.7458)
O (0.5000, 0.0000, 0.7426)
O (0.0000, 0.5000, 0.7494)
O (0.5000, 0.5000, 0.7490)
O (0.2498, 0.2495, 0.2495)
O (0.7502, 0.2495, 0.2495)
O (0.2498, 0.7505, 0.2495)
O (0.7502, 0.7505, 0.2495)
O (0.2498, 0.2495, 0.7505)
O (0.7502, 0.2495, 0.7505)
O (0.2498, 0.7505, 0.7505)
O (0.7502, 0.7505, 0.7505)
O (0.2590, 0.0000, 0.0000)
O (0.7410, 0.0000, 0.0000)
O (0.2493, 0.5000, 0.0000)
O (0.7507, 0.5000, 0.0000)
O (0.2493, 0.0000, 0.5000)
O (0.7507, 0.0000, 0.5000)
O (0.2497, 0.5000, 0.5000)
O (0.7503, 0.5000, 0.5000)
O (0.0000, 0.2542, 0.0000)
O (0.5000, 0.2574, 0.0000)
O (0.0000, 0.7458, 0.0000)
O (0.5000, 0.7426, 0.0000)
O (0.0000, 0.2506, 0.5000)
O (0.5000, 0.2510, 0.5000)
O (0.0000, 0.7494, 0.5000)
O (0.5000, 0.7490, 0.5000)

Properties
Energy relative to the elements, uncorrected ... -2932 meV/atom
Total magnetic moment ... 9.0 μB per formula unit
Symmetry ... No. 123



No. 2
This record from the Alexandria database describes MgMnCrS4 at its PBEsol-relaxed geometry. The functional is SCAN.

abc: 6.9712 7.0514 7.0514
angles: 60.73 60.38 60.38
Atoms (fractional coordinates):
Mg (0.8719, 0.8781, 0.3781)
Mg (0.1281, 0.1219, 0.6219)
Mn (0.5000, 0.5000, 0.0000)
Mn (0.0000, 0.5000, 0.0000)
Cr (0.5000, 0.5000, 0.5000)
Cr (0.5000, 0.0000, 0.0000)
S (0.7397, 0.7343, 0.2343)
S (0.2627, 0.2679, 0.2067)
S (0.2627, 0.7067, 0.7679)
S (0.7083, 0.2657, 0.7657)
S (0.7373, 0.2933, 0.2321)
S (0.2917, 0.7343, 0.2343)
S (0.2603, 0.2657, 0.7657)
S (0.7373, 0.7321, 0.7933)

Properties
Energy relative to the elements, uncorrected ... -1153 meV/atom
Total magnetic moment ... 7.0 μB per formula unit
Symmetry ... No. 74



No. 3
This record from the Alexandria database describes MgCrMo2 at its PBEsol-relaxed geometry. The functional is SCAN.

abc: 2.6460 2.6460 8.6611
angles: 90.00 90.00 90.00
Atoms (fractional coordinates):
Cr (0.5000, 0.5000, 0.0000)
Mg (0.5000, 0.5000, 0.5000)
Mo (0.0000, 0.0000, 0.7723)
Mo (0.0000, 0.0000, 0.2277)

Properties
DFT formation energy ... 419.8 meV/atom
Total magnetic moment ... 2.5 μB per formula unit
Symmetry ... No. 123



No. 4
This record from the Alexandria database describes MgCr2Mo at its PBEsol-relaxed geometry. The functional is SCAN.

abc: 2.8809 2.8809 8.4536
angles: 80.19 80.19 60.00
Atoms (fractional coordinates):
Cr (0.2602, 0.2602, 0.2193)
Cr (0.7398, 0.7398, 0.7807)
Mg (0.5000, 0.5000, 0.5000)
Mo (0.0000, 0.0000, 0.0000)

Properties
DFT formation energy ... 516.4 meV/atom
Total magnetic moment ... 3.6 μB per formula unit
Symmetry ... No. 166



No. 5
This record from the Alexandria database describes Mg3CrMo at its PBEsol-relaxed geometry. The functional is SCAN.

abc: 4.8420 4.8420 4.8420
angles: 90.00 90.00 90.00
Atoms (fractional coordinates):
Cr (0.0000, 0.0000, 0.0000)
Mo (0.5000, 0.5000, 0.5000)
Mg (0.0000, 0.5000, 0.0000)
Mg (0.0000, 0.0000, 0.5000)
Mg (0.5000, 0.0000, 0.0000)

Properties
DFT formation energy ... 1299.1 meV/atom
Total magnetic moment ... 7.9 μB per formula unit
Symmetry ... No. 221



No. 6
This record from the Alexandria database describes MgCrMo2 at its PBEsol-relaxed geometry. The functional is SCAN.

abc: 2.5704 5.1306 5.1306
angles: 118.41 90.00 90.00
Atoms (fractional coordinates):
Cr (0.5000, 0.0000, 0.0000)
Mg (0.5000, 0.5000, 0.5000)
Mo (0.0000, 0.5000, 0.0000)
Mo (0.0000, 0.0000, 0.5000)

Properties
DFT formation energy ... 430.2 meV/atom
Total magnetic moment ... 2.8 μB per formula unit
Symmetry ... No. 65



No. 7
This record from the Alexandria database describes MgCr2Mo at its PBEsol-relaxed geometry. The functional is SCAN.

abc: 2.9331 4.3639 5.0205
angles: 115.76 106.98 90.00
Atoms (fractional coordinates):
Cr (0.0171, 0.0171, 0.0343)
Cr (0.7229, 0.2229, 0.4457)
Mg (0.4914, 0.4914, 0.9828)
Mo (0.2686, 0.7686, 0.5372)

Properties
DFT formation energy ... 398.6 meV/atom
Total magnetic moment ... 0.0 μB per formula unit
Symmetry ... No. 44



No. 8
This record from the Alexandria database describes MgCrMo2 at its PBEsol-relaxed geometry. The functional is SCAN.

abc: 3.7554 3.7554 4.2819
angles: 90.00 90.00 90.00
Atoms (fractional coordinates):
Cr (0.5000, 0.5000, 0.5000)
Mg (0.0000, 0.0000, 0.5000)
Mo (0.0000, 0.5000, 0.0000)
Mo (0.5000, 0.0000, 0.0000)

Properties
DFT formation energy ... 393.8 meV/atom
Total magnetic moment ... 2.6 μB per formula unit
Symmetry ... No. 123



No. 9
This record from the Alexandria database describes MgCrMo2 at its PBEsol-relaxed geometry. The functional is SCAN.

abc: 2.8675 2.8675 8.7981
angles: 80.62 80.62 60.00
Atoms (fractional coordinates):
Cr (0.5000, 0.5000, 0.5000)
Mg (0.0000, 0.0000, 0.0000)
Mo (0.2386, 0.2386, 0.2843)
Mo (0.7614, 0.7614, 0.7157)

Properties
DFT formation energy ... 448.2 meV/atom
Total magnetic moment ... 0.0 μB per formula unit
Symmetry ... No. 166



No. 10
This record from the Alexandria database describes MgZr2CrMo at its PBEsol-relaxed geometry. The functional is SCAN.

abc: 4.3274 4.9055 4.9055
angles: 90.00 90.00 90.00
Atoms (fractional coordinates):
Cr (0.0000, 0.0000, 0.0000)
Mo (0.5000, 0.0000, 0.0000)
Mg (0.5000, 0.5000, 0.5000)
Zr (0.0000, 0.0000, 0.5000)
Zr (0.0000, 0.5000, 0.0000)

Properties
DFT formation energy ... 573.6 meV/atom
Total magnetic moment ... 0.0 μB per formula unit
Symmetry ... No. 123



No. 11
This record from the Alexandria database describes MgCr2N2 at its PBEsol-relaxed geometry. The functional is SCAN.

abc: 3.6479 3.6479 5.3893
angles: 90.00 90.00 90.00
Atoms (fractional coordinates):
Mg (0.0000, 0.0000, 0.0000)
Cr (0.5000, 0.5000, 0.7479)
Cr (0.5000, 0.5000, 0.2521)
N (0.5000, 0.0000, 0.2327)
N (0.0000, 0.5000, 0.7673)

Properties
Energy relative to the elements, uncorrected ... -100 meV/atom
Total magnetic moment ... 6.3 μB per formula unit
Symmetry ... No. 115



No. 12
This record from the Alexandria database describes Mg2CrN3 at its PBEsol-relaxed geometry. The functional is SCAN.

abc: 4.6206 5.8421 5.8421
angles: 60.92 90.00 90.00
Atoms (fractional coordinates):
Mg (0.5548, 0.0053, 0.6679)
Mg (0.5548, 0.3321, 0.9947)
Mg (0.0548, 0.9947, 0.3321)
Mg (0.0548, 0.6679, 0.0053)
Cr (0.5213, 0.6715, 0.3285)
Cr (0.0213, 0.3285, 0.6715)
N (0.0820, 0.0342, 0.6683)
N (0.0820, 0.3317, 0.9658)
N (0.5820, 0.9658, 0.3317)
N (0.5820, 0.6683, 0.0342)
N (0.1330, 0.6255, 0.3745)
N (0.6330, 0.3745, 0.6255)

Properties
Energy relative to the elements, uncorrected ... -921 meV/atom
Total magnetic moment ... 1.0 μB per formula unit
Symmetry ... No. 36